#one
VASP calculation (GGA+U) on an optimized crystal structure of Ga3FeF.

The value obtained for the theoretical density is 4.18 Mg/m³. As for the total magnetization: 2.25 μB per formula unit. The density of states at the Fermi level is 1.5 states/eV/f.u.

It has space group Pm-3m (No. 221), with a = 4.834 Å, b = 4.834 Å, c = 4.834 Å, α = 90.00°, β = 90.00° and γ = 90.00°. Symmetry generates all atoms from Ga at (0.000, 0.000, 0.500), Fe at (0.000, 0.000, 0.000) and F at (0.500, 0.500, 0.500).


#two
VASP calculation (GGA+U) on an optimized crystal structure of Ga3FeF.

The value obtained for the theoretical density is 4.88 Mg/m³. As for the total magnetization: 3.30 μB per formula unit. The density of states at the Fermi level is 2.7 states/eV/f.u.

It has space group Pm-3m (No. 221), with a = 4.590 Å, b = 4.590 Å, c = 4.590 Å, α = 90.00°, β = 90.00° and γ = 90.00°. Symmetry generates all atoms from Ga at (0.000, 0.000, 0.500), Fe at (0.500, 0.500, 0.500) and F at (0.000, 0.000, 0.000).


Most stable: #one (next structure +43 meV/atom)


#one
VASP calculation (GGA+U) on an optimized crystal structure of GaFeNF2.

The value obtained for the theoretical density is 4.55 Mg/m³. As for the total magnetization: 4.76 μB per formula unit. The density of states at the Fermi level is 1.3 states/eV/f.u.

It has space group P4/mmm (No. 123), with a = 3.959 Å, b = 3.959 Å, c = 4.132 Å, α = 90.00°, β = 90.00° and γ = 90.00°. Symmetry generates all atoms from Ga at (0.000, 0.000, 0.000), Fe at (0.500, 0.500, 0.500), N at (0.500, 0.500, 0.000) and F at (0.000, 0.500, 0.500).


#two
VASP calculation (GGA+U) on an optimized crystal structure of GaFeNF2.

The value obtained for the theoretical density is 4.96 Mg/m³. As for the total magnetization: 4.00 μB per formula unit. The density of states at the Fermi level is 0.3 states/eV/f.u.

It has space group P4/mmm (No. 123), with a = 3.901 Å, b = 3.901 Å, c = 3.907 Å, α = 90.00°, β = 90.00° and γ = 90.00°. Symmetry generates all atoms from Ga at (0.000, 0.000, 0.000), Fe at (0.500, 0.500, 0.500), N at (0.000, 0.000, 0.500) and F at (0.000, 0.500, 0.000).


Most stable: #two (next structure +82 meV/atom)


#one
VASP calculation (GGA+U) on an optimized crystal structure of FeGe3F.

The value obtained for the theoretical density is 5.23 Mg/m³. As for the total magnetization: 3.21 μB per formula unit. The density of states at the Fermi level is 2.9 states/eV/f.u.

It has space group Pm-3m (No. 221), with a = 4.531 Å, b = 4.531 Å, c = 4.531 Å, α = 90.00°, β = 90.00° and γ = 90.00°. Symmetry generates all atoms from Fe at (0.000, 0.000, 0.000), Ge at (0.000, 0.500, 0.500) and F at (0.500, 0.500, 0.500).


#two
VASP calculation (GGA+U) on an optimized crystal structure of FeGe3F.

The value obtained for the theoretical density is 5.54 Mg/m³. As for the total magnetization: 1.00 μB per formula unit. The density of states at the Fermi level is 1.2 states/eV/f.u.

It has space group Pm-3m (No. 221), with a = 4.444 Å, b = 4.444 Å, c = 4.444 Å, α = 90.00°, β = 90.00° and γ = 90.00°. Symmetry generates all atoms from Fe at (0.000, 0.000, 0.000), Ge at (0.000, 0.000, 0.500) and F at (0.500, 0.500, 0.500).


Most stable: #two (next structure +134 meV/atom)


#one
VASP calculation (GGA+U) on an optimized crystal structure of Fe3GeF.

The value obtained for the theoretical density is 3.85 Mg/m³. As for the total magnetization: 11.00 μB per formula unit. The density of states at the Fermi level is 4.4 states/eV/f.u.

It has space group Pm-3m (No. 221), with a = 4.819 Å, b = 4.819 Å, c = 4.819 Å, α = 90.00°, β = 90.00° and γ = 90.00°. Symmetry generates all atoms from Fe at (0.000, 0.000, 0.500), Ge at (0.000, 0.000, 0.000) and F at (0.500, 0.500, 0.500).


#two
VASP calculation (GGA+U) on an optimized crystal structure of Fe3GeF.

The value obtained for the theoretical density is 5.53 Mg/m³. As for the total magnetization: 10.16 μB per formula unit. The density of states at the Fermi level is 5.2 states/eV/f.u.

It has space group Pm-3m (No. 221), with a = 4.269 Å, b = 4.269 Å, c = 4.269 Å, α = 90.00°, β = 90.00° and γ = 90.00°. Symmetry generates all atoms from Fe at (0.000, 0.000, 0.500), Ge at (0.500, 0.500, 0.500) and F at (0.000, 0.000, 0.000).


Most stable: #two (next structure +120 meV/atom)


#one
VASP calculation (GGA+U) on an optimized crystal structure of FeGeN2F.

The value obtained for the theoretical density is 4.88 Mg/m³. As for the total magnetization: 3.53 μB per formula unit. The density of states at the Fermi level is 2.0 states/eV/f.u.

It has space group P4/mmm (No. 123), with a = 3.841 Å, b = 3.841 Å, c = 4.043 Å, α = 90.00°, β = 90.00° and γ = 90.00°. Symmetry generates all atoms from Fe at (0.000, 0.000, 0.000), Ge at (0.500, 0.500, 0.500), N at (0.000, 0.500, 0.000) and F at (0.000, 0.000, 0.500).


#two
VASP calculation (GGA+U) on an optimized crystal structure of FeGeN2F.

The value obtained for the theoretical density is 5.20 Mg/m³. As for the total magnetization: 3.49 μB per formula unit. The density of states at the Fermi level is 0.5 states/eV/f.u.

It has space group P4/mmm (No. 123), with a = 3.772 Å, b = 3.772 Å, c = 3.943 Å, α = 90.00°, β = 90.00° and γ = 90.00°. Symmetry generates all atoms from Fe at (0.000, 0.000, 0.000), Ge at (0.500, 0.500, 0.500), N at (0.000, 0.500, 0.500) and F at (0.500, 0.500, 0.000).


Most stable: #two (next structure +142 meV/atom)


#one
VASP calculation (GGA+U) on an optimized crystal structure of FeGeOF2.

The value obtained for the theoretical density is 4.59 Mg/m³. As for the total magnetization: 3.99 μB per formula unit. The density of states at the Fermi level is 0.9 states/eV/f.u.

It has space group P4/mmm (No. 123), with a = 4.034 Å, b = 4.034 Å, c = 4.058 Å, α = 90.00°, β = 90.00° and γ = 90.00°. Symmetry generates all atoms from Fe at (0.000, 0.000, 0.000), Ge at (0.500, 0.500, 0.500), O at (0.000, 0.000, 0.500) and F at (0.000, 0.500, 0.000).


#two
VASP calculation (GGA+U) on an optimized crystal structure of FeGeOF2.

The value obtained for the theoretical density is 4.42 Mg/m³. As for the total magnetization: 3.10 μB per formula unit. The density of states at the Fermi level is 0.9 states/eV/f.u.

It has space group P4/mmm (No. 123), with a = 4.236 Å, b = 4.236 Å, c = 3.820 Å, α = 90.00°, β = 90.00° and γ = 90.00°. Symmetry generates all atoms from Fe at (0.000, 0.000, 0.000), Ge at (0.500, 0.500, 0.500), O at (0.500, 0.500, 0.000) and F at (0.000, 0.500, 0.500).


Most stable: #one (next structure +330 meV/atom)


#one
VASP calculation (GGA+U) on an optimized crystal structure of FeHF2.

The value obtained for the theoretical density is 4.44 Mg/m³. As for the total magnetization: 4.35 μB per formula unit. The density of states at the Fermi level is 7.0 states/eV/f.u.

It has space group Fm-3m (No. 225), with a = 5.217 Å, b = 5.217 Å, c = 5.217 Å, α = 90.00°, β = 90.00° and γ = 90.00°. Symmetry generates all atoms from Fe at (0.000, 0.000, 0.000), H at (0.000, 0.000, 0.500) and F at (0.250, 0.250, 0.250).


#two
VASP calculation (GGA+U) on an optimized crystal structure of FeHF2.

The value obtained for the theoretical density is 2.65 Mg/m³. As for the total magnetization: 5.02 μB per formula unit. The density of states at the Fermi level is 0.0 states/eV/f.u.

It has space group C2/m (No. 12), with a = 5.775 Å, b = 3.292 Å, c = 6.551 Å, α = 90.00°, β = 107.13° and γ = 90.00°. Symmetry generates all atoms from Fe at (0.000, 0.000, 0.000), H at (0.000, 0.500, 0.500) and F at (0.211, 0.500, 0.147).


Most stable: #two (next structure +398 meV/atom)


#one
VASP calculation (GGA+U) on an optimized crystal structure of FeHF4.

The value obtained for the theoretical density is 3.20 Mg/m³. As for the total magnetization: 5.00 μB per formula unit. The density of states at the Fermi level is 0.0 states/eV/f.u.

It has space group P2_1/m (No. 11), with a = 3.886 Å, b = 6.276 Å, c = 5.861 Å, α = 90.00°, β = 105.29° and γ = 90.00°. Symmetry generates all atoms from Fe at (0.029, 0.250, 0.090), H at (0.061, 0.250, 0.592), F at (0.067, 0.558, 0.198), F at (0.211, 0.250, 0.484) and F at (0.460, 0.750, 0.886).


#two
VASP calculation (GGA+U) on an optimized crystal structure of FeHF4.

The value obtained for the theoretical density is 2.67 Mg/m³. As for the total magnetization: 5.00 μB per formula unit. The density of states at the Fermi level is 0.0 states/eV/f.u.

It has space group C2/c (No. 15), with a = 4.962 Å, b = 12.947 Å, c = 5.305 Å, α = 90.00°, β = 103.99° and γ = 90.00°. Symmetry generates all atoms from Fe at (0.000, 0.062, 0.250), H at (0.000, 0.334, 0.750), F at (0.210, 0.047, 0.614) and F at (0.238, 0.333, 0.801).


Most stable: #two (next structure +55 meV/atom)